# 1
## Gd2ZnN (PBE)

Data for crystalline Gd2ZnN at its relaxed geometry.

For the mass density, the calculation gives 7.97 Mg/m³. The value obtained for the calculated total energy is -10.265 eV/atom. The uncorrected formation energy comes out at -3.3 eV/f.u.

Unit cell a=7.763 b=7.763 c=7.763 alpha=26.49 beta=26.49 gamma=26.49
Sites, in units of the cell vectors:
Gd 0.228 0.228 0.228
Gd 0.772 0.772 0.772
Zn 0.000 0.000 0.000
N 0.500 0.500 0.500

# 2
## NaGd3 (PBE)

Data for crystalline NaGd3 at its relaxed geometry.

The energy above the most stable polymorph in this dataset is 0.053 eV/atom. For the mass density, the calculation gives 6.20 Mg/m³. The calculation puts the formation energy from the elements at 0.249 eV per atom. The value obtained for the calculated total energy is -10.642 eV/atom.

Unit cell a=7.228 b=7.228 c=5.857 alpha=90.00 beta=90.00 gamma=120.00
Sites, in units of the cell vectors:
Na 0.333 0.667 0.250
Na 0.667 0.333 0.750
Gd 0.164 0.329 0.750
Gd 0.164 0.836 0.750
Gd 0.329 0.164 0.250
Gd 0.671 0.836 0.750
Gd 0.836 0.164 0.250
Gd 0.836 0.671 0.250

# 3
## NaGd3 (PBE)

Data for crystalline NaGd3 at its relaxed geometry.

The energy above the most stable polymorph in this dataset is 0.000 eV/atom. For the mass density, the calculation gives 6.44 Mg/m³. The calculation puts the formation energy from the elements at 0.196 eV per atom. The value obtained for the calculated total energy is -10.695 eV/atom.

Unit cell a=6.753 b=6.753 c=6.753 alpha=147.24 beta=129.32 gamma=61.67
Sites, in units of the cell vectors:
Na 0.000 0.000 0.000
Gd 0.239 0.739 0.500
Gd 0.500 0.500 0.000
Gd 0.761 0.261 0.500

# 4
## Na3GdTi2Nb2O12 (PBE)

Data for crystalline Na3GdTi2Nb2O12 at its relaxed geometry.

For the mass density, the calculation gives 4.85 Mg/m³. The value obtained for the calculated total energy is -8.385 eV/atom. The uncorrected formation energy comes out at -54.2 eV/f.u.

Unit cell a=5.482 b=5.611 c=7.791 alpha=90.01 beta=90.10 gamma=90.51
Sites, in units of the cell vectors:
Na 0.000 0.000 0.000
Na 0.009 0.056 0.497
Na 0.489 0.524 0.995
Gd 0.490 0.578 0.497
Ti 0.506 0.043 0.251
Ti 0.988 0.537 0.741
Nb 0.505 0.041 0.759
Nb 0.992 0.527 0.237
O 0.058 0.532 0.995
O 0.213 0.783 0.699
O 0.216 0.784 0.298
O 0.300 0.307 0.702
O 0.301 0.303 0.294
O 0.427 0.015 0.001
O 0.569 0.989 0.496
O 0.697 0.710 0.227
O 0.702 0.711 0.767
O 0.791 0.211 0.215
O 0.797 0.217 0.786
O 0.909 0.484 0.501

# 5
## NaNdGdOs (PBE)

Data for crystalline NaNdGdOs at its relaxed geometry.

For the mass density, the calculation gives 9.06 Mg/m³. The calculation puts the formation energy from the elements at 0.102 eV per atom. The value obtained for the calculated total energy is -7.748 eV/atom.

Unit cell a=5.109 b=5.109 c=5.109 alpha=60.00 beta=60.00 gamma=60.00
Sites, in units of the cell vectors:
Na 0.000 0.000 0.000
Nd 0.250 0.250 0.250
Gd 0.750 0.750 0.750
Os 0.500 0.500 0.500

# 6
## NaNdGdSn (PBE)

Data for crystalline NaNdGdSn at its relaxed geometry.

For the mass density, the calculation gives 6.43 Mg/m³. The calculation puts the formation energy from the elements at -0.315 eV per atom. The value obtained for the calculated total energy is -6.357 eV/atom.

Unit cell a=5.449 b=5.449 c=5.449 alpha=60.00 beta=60.00 gamma=60.00
Sites, in units of the cell vectors:
Na 0.000 0.000 0.000
Nd 0.250 0.250 0.250
Gd 0.750 0.750 0.750
Sn 0.500 0.500 0.500

# 7
## NaNdGdTl (PBE)

Data for crystalline NaNdGdTl at its relaxed geometry.

For the mass density, the calculation gives 7.43 Mg/m³. The calculation puts the formation energy from the elements at -0.098 eV per atom. The value obtained for the calculated total energy is -5.732 eV/atom.

Unit cell a=5.509 b=5.509 c=5.509 alpha=60.00 beta=60.00 gamma=60.00
Sites, in units of the cell vectors:
Na 0.000 0.000 0.000
Nd 0.250 0.250 0.250
Gd 0.750 0.750 0.750
Tl 0.500 0.500 0.500

# 8
## NaGd3Ni (PBE)

Data for crystalline NaGd3Ni at its relaxed geometry.

For the mass density, the calculation gives 5.80 Mg/m³. The calculation puts the formation energy from the elements at 0.021 eV per atom. The value obtained for the calculated total energy is -9.848 eV/atom.

Unit cell a=5.410 b=5.410 c=5.410 alpha=90.00 beta=90.00 gamma=90.00
Sites, in units of the cell vectors:
Na 0.000 0.000 0.000
Gd 0.000 0.500 0.500
Gd 0.500 0.000 0.500
Gd 0.500 0.500 0.000
Ni 0.500 0.500 0.500

# 9
## Na5GdO4 (PBE)

Data for crystalline Na5GdO4 at its relaxed geometry.

The energy above the most stable polymorph in this dataset is 0.000 eV/atom. For the mass density, the calculation gives 3.32 Mg/m³. The value obtained for the calculated total energy is -5.827 eV/atom. The uncorrected formation energy comes out at -17.8 eV/f.u.

Unit cell a=7.600 b=7.940 c=5.582 alpha=90.00 beta=90.00 gamma=90.00
Sites, in units of the cell vectors:
Na 0.010 0.059 0.246
Na 0.010 0.441 0.246
Na 0.250 0.750 0.286
Na 0.490 0.059 0.246
Na 0.490 0.441 0.246
Na 0.510 0.559 0.754
Na 0.510 0.941 0.754
Na 0.750 0.250 0.714
Na 0.990 0.559 0.754
Na 0.990 0.941 0.754
Gd 0.250 0.250 0.720
Gd 0.750 0.750 0.280
O 0.012 0.250 0.933
O 0.250 0.015 0.511
O 0.250 0.485 0.511
O 0.488 0.250 0.933
O 0.512 0.750 0.067
O 0.750 0.515 0.489
O 0.750 0.985 0.489
O 0.988 0.750 0.067

# 10
## NaGd2O (PBE)

Data for crystalline NaGd2O at its relaxed geometry.

For the mass density, the calculation gives 5.56 Mg/m³. The value obtained for the calculated total energy is -9.771 eV/atom. The uncorrected formation energy comes out at -4.6 eV/f.u.

Unit cell a=9.853 b=9.853 c=9.853 alpha=20.79 beta=20.79 gamma=20.79
Sites, in units of the cell vectors:
Na 0.000 0.000 0.000
Gd 0.121 0.121 0.121
Gd 0.879 0.879 0.879
O 0.500 0.500 0.500

# 11
## NaGdO2 (PBE)

Data for crystalline NaGdO2 at its relaxed geometry.

For the mass density, the calculation gives 6.05 Mg/m³. The value obtained for the calculated total energy is -9.059 eV/atom. The uncorrected formation energy comes out at -10.9 eV/f.u.

Unit cell a=6.264 b=6.264 c=6.264 alpha=136.12 beta=136.12 gamma=63.79
Sites, in units of the cell vectors:
Na 0.375 0.625 0.750
Na 0.625 0.375 0.250
Gd 0.125 0.875 0.250
Gd 0.875 0.125 0.750
O 0.095 0.345 0.750
O 0.345 0.095 0.250
O 0.655 0.905 0.750
O 0.905 0.655 0.250

# 12
## Na5GdO4 (PBE)

Data for crystalline Na5GdO4 at its relaxed geometry.

The energy above the most stable polymorph in this dataset is 0.027 eV/atom. For the mass density, the calculation gives 3.51 Mg/m³. The value obtained for the calculated total energy is -5.800 eV/atom. The uncorrected formation energy comes out at -17.5 eV/f.u.

Unit cell a=8.459 b=6.112 c=6.153 alpha=90.00 beta=90.00 gamma=90.00
Sites, in units of the cell vectors:
Na 0.000 0.158 0.000
Na 0.188 0.094 0.454
Na 0.188 0.594 0.269
Na 0.312 0.406 0.769
Na 0.312 0.906 0.954
Na 0.500 0.842 0.500
Na 0.688 0.406 0.769
Na 0.688 0.906 0.954
Na 0.812 0.094 0.454
Na 0.812 0.594 0.269
Gd 0.000 0.657 0.734
Gd 0.500 0.343 0.234
O 0.000 0.309 0.645
O 0.000 0.769 0.069
O 0.234 0.755 0.613
O 0.266 0.245 0.113
O 0.500 0.231 0.569
O 0.500 0.691 0.145
O 0.734 0.245 0.113
O 0.766 0.755 0.613

# 13
## Na3GdP2O8 (PBE)

Data for crystalline Na3GdP2O8 at its relaxed geometry.

For the mass density, the calculation gives 3.92 Mg/m³. The value obtained for the calculated total energy is -7.437 eV/atom. The uncorrected formation energy comes out at -35.6 eV/f.u.

Unit cell a=5.384 b=14.082 c=14.202 alpha=91.13 beta=100.84 gamma=90.02
Sites, in units of the cell vectors:
Na 0.000 0.000 0.000
Na 0.000 0.500 0.000
Na 0.115 0.139 0.238
Na 0.121 0.639 0.238
Na 0.218 0.824 0.444
Na 0.224 0.324 0.444
Na 0.347 0.235 0.697
Na 0.352 0.735 0.696
Na 0.405 0.081 0.891
Na 0.488 0.581 0.892
Na 0.512 0.419 0.108
Na 0.595 0.919 0.109
Na 0.648 0.265 0.304
Na 0.653 0.765 0.303
Na 0.776 0.676 0.556
Na 0.782 0.176 0.556
Na 0.879 0.361 0.762
Na 0.885 0.861 0.762
Gd 0.097 0.750 0.000
Gd 0.304 0.986 0.645
Gd 0.345 0.486 0.645
Gd 0.655 0.514 0.355
Gd 0.696 0.014 0.355
Gd 0.903 0.250 0.000
P 0.095 0.391 0.224
P 0.127 0.891 0.224
P 0.224 0.602 0.458
P 0.233 0.102 0.458
P 0.406 0.348 0.885
P 0.480 0.848 0.885
P 0.520 0.152 0.115
P 0.594 0.652 0.115
P 0.767 0.898 0.542
P 0.776 0.398 0.542
P 0.873 0.109 0.776
P 0.905 0.609 0.776
O 0.020 0.856 0.597
O 0.039 0.025 0.749
O 0.042 0.364 0.591
O 0.050 0.876 0.113
O 0.062 0.376 0.113
O 0.083 0.801 0.278
O 0.147 0.349 0.920
O 0.163 0.579 0.750
O 0.192 0.301 0.278
O 0.220 0.992 0.458
O 0.227 0.151 0.080
O 0.241 0.492 0.457
O 0.279 0.137 0.565
O 0.283 0.637 0.565
O 0.287 0.475 0.251
O 0.345 0.911 0.950
O 0.356 0.381 0.779
O 0.368 0.746 0.887
O 0.394 0.589 0.049
O 0.411 0.921 0.251
O 0.422 0.645 0.403
O 0.425 0.881 0.779
O 0.450 0.137 0.409
O 0.481 0.754 0.113
O 0.519 0.246 0.887
O 0.550 0.863 0.591
O 0.575 0.119 0.221
O 0.578 0.355 0.597
O 0.589 0.079 0.749
O 0.606 0.411 0.951
O 0.632 0.254 0.113
O 0.644 0.619 0.221
O 0.655 0.089 0.050
O 0.713 0.525 0.749
O 0.717 0.363 0.435
O 0.721 0.863 0.435
O 0.759 0.508 0.543
O 0.773 0.849 0.920
O 0.780 0.008 0.542
O 0.808 0.699 0.722
O 0.837 0.421 0.250
O 0.853 0.651 0.080
O 0.917 0.199 0.722
O 0.938 0.624 0.887
O 0.950 0.124 0.887
O 0.958 0.636 0.409
O 0.961 0.975 0.251
O 0.980 0.144 0.403

# 14
## NaGdTiO4 (PBE)

Data for crystalline NaGdTiO4 at its relaxed geometry.

The energy above the most stable polymorph in this dataset is 0.011 eV/atom. For the mass density, the calculation gives 5.37 Mg/m³. The value obtained for the calculated total energy is -9.106 eV/atom. The uncorrected formation energy comes out at -20.6 eV/f.u.

Unit cell a=3.741 b=3.741 c=12.910 alpha=90.00 beta=90.00 gamma=90.00
Sites, in units of the cell vectors:
Na 0.250 0.250 0.083
Na 0.750 0.750 0.917
Gd 0.250 0.250 0.394
Gd 0.750 0.750 0.606
Ti 0.250 0.250 0.766
Ti 0.750 0.750 0.234
O 0.250 0.250 0.566
O 0.250 0.250 0.904
O 0.250 0.750 0.272
O 0.250 0.750 0.728
O 0.750 0.250 0.272
O 0.750 0.250 0.728
O 0.750 0.750 0.096
O 0.750 0.750 0.434

# 15
## NaGdTiO4 (PBE)

Data for crystalline NaGdTiO4 at its relaxed geometry.

The energy above the most stable polymorph in this dataset is 0.000 eV/atom. For the mass density, the calculation gives 5.33 Mg/m³. The value obtained for the calculated total energy is -9.117 eV/atom. The uncorrected formation energy comes out at -20.7 eV/f.u.

Unit cell a=12.646 b=5.424 c=5.310 alpha=90.00 beta=90.00 gamma=90.00
Sites, in units of the cell vectors:
Na 0.086 0.000 0.250
Na 0.086 0.500 0.750
Na 0.914 0.000 0.750
Na 0.914 0.500 0.250
Gd 0.393 0.022 0.250
Gd 0.393 0.478 0.750
Gd 0.607 0.522 0.250
Gd 0.607 0.978 0.750
Ti 0.234 0.508 0.250
Ti 0.234 0.992 0.750
Ti 0.766 0.008 0.250
Ti 0.766 0.492 0.750
O 0.096 0.542 0.250
O 0.096 0.958 0.750
O 0.256 0.250 0.000
O 0.256 0.250 0.500
O 0.284 0.750 0.000
O 0.284 0.750 0.500
O 0.435 0.065 0.750
O 0.435 0.435 0.250
O 0.565 0.565 0.750
O 0.565 0.935 0.250
O 0.716 0.250 0.000
O 0.716 0.250 0.500
O 0.744 0.750 0.000
O 0.744 0.750 0.500
O 0.904 0.042 0.250
O 0.904 0.458 0.750